# Na4SrAu4 (PBE, optimized geometry)
data_Na4SrAu4
_cell_length_a 9.517
_cell_length_b 9.517
_cell_length_c 5.921
_cell_angle_alpha 90.00
_cell_angle_beta 90.00
_cell_angle_gamma 90.00
_space_group_name_H-M_alt 'P 42/n'
_space_group_IT_number 86
loop_
_space_group_symop_operation_xyz
'x,y,z'
'-x,-y,-z'
'-y,x+1/2,z+1/2'
'y,-x+1/2,-z+1/2'
'-x+1/2,-y+1/2,z'
'x+1/2,y+1/2,-z'
'y+1/2,-x,z+1/2'
'-y+1/2,x,-z+1/2'
loop_
_atom_site_label
_atom_site_fract_x
_atom_site_fract_y
_atom_site_fract_z
Na1 0.092 0.649 0.144
Sr1 0.250 0.250 0.250
Au1 0.037 0.608 0.647
# Volume ... 29.79 Å³ per atom
# Spin magnetization ... 0.00 μB/f.u.
# Energy of formation ... -287 meV per atom

***

# Pr2YAs3Rh4 (PBE, optimized geometry)
data_Pr2YAs3Rh4
_cell_length_a 4.151
_cell_length_b 4.151
_cell_length_c 11.489
_cell_angle_alpha 90.00
_cell_angle_beta 90.00
_cell_angle_gamma 90.00
_space_group_name_H-M_alt 'P -4 m 2'
_space_group_IT_number 115
loop_
_space_group_symop_operation_xyz
'x,y,z'
'y,-x,-z'
'-x,-y,z'
'-y,x,-z'
'-x,y,z'
'-y,-x,-z'
'x,-y,z'
'y,x,-z'
loop_
_atom_site_label
_atom_site_fract_x
_atom_site_fract_y
_atom_site_fract_z
Pr1 0.000 0.500 0.226
Y1 0.000 0.000 0.500
As1 0.000 0.500 0.874
As2 0.500 0.500 0.500
Rh1 0.000 0.000 0.000
Rh2 0.000 0.500 0.661
Rh3 0.500 0.500 0.000
# Volume ... 19.79 Å³ per atom
# Spin magnetization ... 0.00 μB/f.u.
# Energy of formation ... -953 meV per atom

***

# Pm3Y4Tm5 (PBE, optimized geometry)
data_Pm3Y4Tm5
_cell_length_a 15.890
_cell_length_b 5.905
_cell_length_c 9.288
_cell_angle_alpha 90.00
_cell_angle_beta 116.44
_cell_angle_gamma 90.00
_space_group_name_H-M_alt 'C 1 2/m 1'
_space_group_IT_number 12
loop_
_space_group_symop_operation_xyz
'x,y,z'
'-x,-y,-z'
'-x,y,-z'
'x,-y,z'
'x+1/2,y+1/2,z'
'-x+1/2,-y+1/2,-z'
'-x+1/2,y+1/2,-z'
'x+1/2,-y+1/2,z'
loop_
_atom_site_label
_atom_site_fract_x
_atom_site_fract_y
_atom_site_fract_z
Pm1 0.000 0.000 0.000
Pm2 0.210 0.500 0.236
Y1 0.082 0.500 0.441
Y2 0.209 0.500 0.879
Tm1 0.000 0.500 0.000
Tm2 0.072 0.000 0.696
Tm3 0.172 0.000 0.385
# Volume ... 32.51 Å³ per atom
# Spin magnetization ... 0.23 μB/f.u.
# Energy of formation ... 235 meV per atom
# ΔE to the lowest computed polymorph ... 0.2118 eV/atom